Record 1
An optimized crystal structure of Li2AlGaS4. Source: Alexandria via LeMat-Bulk, functional GGA-PBE.

abc: 6.2765 6.9415 7.4528
angles: 90.00 90.00 90.00
Last column: nearest neighbours and their distance in Å.
Fractional positions:
Li 0.4988 0.3343 0.2496  4 S 2.41-2.47
Li 0.4988 0.3343 0.7504  4 S 2.41-2.47
Li 0.9988 0.6657 0.7496  4 S 2.41-2.47
Li 0.9988 0.6657 0.2504  4 S 2.41-2.47
Al 0.4979 0.8457 0.5000  4 S 2.26-2.29
Al 0.9979 0.1543 0.0000  4 S 2.26-2.29
Ga 0.9993 0.1537 0.5000  4 S 2.29-2.33
Ga 0.4993 0.8463 0.0000  4 S 2.29-2.33
S 0.3606 0.1511 0.0000  1 Al 2.28, 1 Ga 2.29, 2 Li 2.41
S 0.8606 0.8489 0.5000  1 Al 2.28, 1 Ga 2.29, 2 Li 2.41
S 0.3670 0.1489 0.5000  1 Al 2.26, 1 Ga 2.31, 2 Li 2.41
S 0.8670 0.8511 0.0000  1 Al 2.26, 1 Ga 2.31, 2 Li 2.41
S 0.3888 0.6766 0.7476  1 Al 2.29, 1 Ga 2.33, 2 Li 2.45-2.47
S 0.8888 0.3234 0.2476  1 Al 2.29, 1 Ga 2.33, 2 Li 2.45-2.47
S 0.8888 0.3234 0.7524  1 Al 2.29, 1 Ga 2.33, 2 Li 2.45-2.47
S 0.3888 0.6766 0.2524  1 Al 2.29, 1 Ga 2.33, 2 Li 2.45-2.47

Results
SG	Pmn2_1 (31)
electronic total energy	-4.532	eV per atom

---

Record 2
An optimized crystal structure of Y3HoN4. Source: Alexandria via LeMat-Bulk, functional GGA-PBE.

abc: 4.9095 4.9095 4.9095
angles: 90.00 90.00 90.00
Last column: nearest neighbours and their distance in Å.
Fractional positions:
Y 0.0000 0.5000 0.5000  6 N 2.45
Y 0.5000 0.0000 0.5000  6 N 2.45
Y 0.5000 0.5000 0.0000  6 N 2.45
Ho 0.0000 0.0000 0.0000  6 N 2.45
N 0.5000 0.0000 0.0000  4 Y 2.45, 2 Ho 2.45
N 0.0000 0.5000 0.0000  4 Y 2.45, 2 Ho 2.45
N 0.0000 0.0000 0.5000  4 Y 2.45, 2 Ho 2.45
N 0.5000 0.5000 0.5000  6 Y 2.45

Results
SG	Pm-3m (221)
electronic total energy	-8.864	eV per atom

---

Record 3
An optimized crystal structure of KFeRh4. Source: Alexandria via LeMat-Bulk, functional GGA-PBE.

abc: 5.2668 5.2668 5.2668
angles: 60.00 60.00 60.00
Last column: nearest neighbours and their distance in Å.
Fractional positions:
K 0.0000 0.0000 0.0000  12 Rh 3.09, 4 Fe 3.23
Fe 0.7500 0.7500 0.7500  12 Rh 3.09, 4 K 3.23
Rh 0.8730 0.3757 0.3757  6 Rh 2.62-2.65
Rh 0.3757 0.3757 0.8730  6 Rh 2.62-2.65
Rh 0.3757 0.8730 0.3757  6 Rh 2.62-2.65
Rh 0.3757 0.3757 0.3757  6 Rh 2.62-2.65

Results
SG	F-43m (216)
formation enthalpy at 0 K	0.5897	eV/atom
electronic total energy	-5.905	eV per atom